[1]
This record from Alexandria via LeMat-Bulk describes Li4Ti3Cu3Te2O16 at its PBEsol-relaxed geometry. The functional is meta-GGA SCAN.

Calculated values
Formation energy without anion corrections: -193 kJ/mol of atoms

abc: 10.2180 5.8951 10.0162
angles: 90.00 91.49 90.00
With the nearest neighbours (Å) after each atom.
Space group Cm (No. 8)
Inequivalent atoms, fractional coordinates:
Li: 0.0000 0.0000 0.0000 x2  4 O 1.96-2.10
Li: 0.0220 0.0000 0.5086 x2  3 O 1.84-1.99
Li: 0.1773 0.5000 0.0838 x2  4 O 1.95-2.15
Li: 0.3590 0.0000 0.5775 x2  4 O 1.95-1.97
Ti: 0.3401 0.5000 0.7651 x2  6 O 1.95-2.01
Ti: 0.4226 0.2416 0.2710 x4  4 O 1.81-1.96
Cu: 0.0998 0.2533 0.7736 x4  4 O 1.90-2.07
Cu: 0.1856 0.0000 0.2864 x2  4 O 1.93-2.14
Te: 0.1830 0.5000 0.5029 x2  6 O 1.94-2.03
Te: 0.3354 0.0000 0.9859 x2  3 O 1.94-2.00
O: 0.0034 0.5000 0.1742 x2  2 Ti 1.92, 1 Li 2.01
O: 0.0154 0.0000 0.6915 x2  1 Li 1.84, 2 Cu 1.90, 1 Ti 1.95
O: 0.0167 0.0000 0.1957 x2  1 Cu 1.93, 2 Ti 1.96, 1 Li 1.96
O: 0.0442 0.5000 0.6361 x2  1 Li 1.97, 1 Te 1.97, 2 Cu 2.07
O: 0.0974 0.2554 0.4054 x4  1 Te 1.94, 1 Li 1.99, 1 Cu 2.14
O: 0.1623 0.0000 0.9009 x2  1 Te 1.94, 1 Li 1.96, 2 Cu 2.05
O: 0.1814 0.5000 0.8697 x2  2 Cu 1.92, 1 Ti 1.95, 1 Li 2.15
O: 0.2748 0.2858 0.6227 x4  1 Li 1.95, 1 Te 1.96, 1 Ti 2.01
O: 0.2829 0.2520 0.1559 x4  1 Ti 1.81, 1 Li 1.95
O: 0.3472 0.5000 0.3930 x2  1 Te 2.03, 1 Li 2.10, 2 Ti 2.11
O: 0.3552 0.0000 0.3819 x2  2 Ti 1.94, 1 Cu 1.96, 1 Li 1.96
O: 0.4071 0.2553 0.8787 x4  1 Ti 1.95, 1 Te 2.00, 1 Li 2.10

[2]
This record from Alexandria via LeMat-Bulk describes CrSb2RuI at its PBEsol-relaxed geometry. The functional is meta-GGA SCAN.

Calculated values
D(E_F): 0.48 states/eV/atom
Formation energy without anion corrections: 108 kJ/mol of atoms

abc: 4.9181 4.9181 5.2261
angles: 90.00 90.00 90.00
With the nearest neighbours (Å) after each atom.
Space group P4/mmm (No. 123)
Inequivalent atoms, fractional coordinates:
Cr: 0.0000 0.0000 0.0000 x1  4 Sb 2.46, 2 I 2.61
Sb: 0.0000 0.5000 0.0000 x2  2 Cr 2.46
Ru: 0.5000 0.5000 0.5000 x1  4 I 3.48, 8 Sb 3.59
I: 0.0000 0.0000 0.5000 x1  2 Cr 2.61

[3]
This record from Alexandria via LeMat-Bulk describes IrRu2 at its PBEsol-relaxed geometry. The functional is meta-GGA SCAN.

Calculated values
D(E_F): 0.93 states/eV/atom
Energy of formation: -0.04 eV per formula unit
Excess energy over the best structure of this formula in the dataset: 0.19 eV/f.u.

abc: 3.7848 3.7848 22.7148
angles: 90.00 90.00 90.00
With the nearest neighbours (Å) after each atom.
Space group I4_1/amd (No. 141, origin choice 2)
Inequivalent atoms, fractional coordinates:
Ir: 0.0000 0.2500 0.2924 x8  10 Ru 2.66-2.69, 2 Ir 2.70
Ru: 0.0000 0.2500 0.1254 x8  4 Ir 2.66-2.67, 8 Ru 2.66-2.68
Ru: 0.0000 0.2500 0.7920 x8  6 Ru 2.66-2.69, 6 Ir 2.68-2.69

[4]
This record from Alexandria via LeMat-Bulk describes MgMn4Hg at its PBEsol-relaxed geometry. The functional is meta-GGA SCAN.

Calculated values
D(E_F): 0.97 states/eV/atom
Energy of formation: 1.80 eV per formula unit

abc: 6.8492 6.8492 6.8492
angles: 90.00 90.00 90.00
With the nearest neighbours (Å) after each atom.
Space group F-43m (No. 216)
Inequivalent atoms, fractional coordinates:
Mg: 0.0000 0.0000 0.0000 x4  12 Mn 2.84, 4 Hg 2.97
Mn: 0.1263 0.1263 0.3737 x16  6 Mn 2.40-2.45
Hg: 0.2500 0.2500 0.7500 x4  12 Mn 2.84, 4 Mg 2.97

[5]
This record from Alexandria via LeMat-Bulk describes Nd3Sb5O12 at its PBEsol-relaxed geometry. The functional is meta-GGA SCAN.

Calculated values
D(E_F): 0.00 states/eV/atom
Formation energy without anion corrections: -228 kJ/mol of atoms

abc: 10.9486 10.9486 10.9486
angles: 90.00 90.00 90.00
With the nearest neighbours (Å) after each atom.
Space group I-43m (No. 217)
Inequivalent atoms, fractional coordinates:
Nd: 0.0000 0.2500 0.5000 x12  4 O 2.32
Sb: 0.0000 0.0000 0.2771 x12  2 O 1.98
Sb: 0.2446 0.2446 0.2446 x8  3 O 2.03
O: 0.1004 0.1004 0.3884 x24  1 Sb 1.98
O: 0.1372 0.1372 0.6645 x24  2 Sb 2.03-2.22

[6]
This record from Alexandria via LeMat-Bulk describes KCd2Sn2 at its PBEsol-relaxed geometry. The functional is meta-GGA SCAN.

Calculated values
D(E_F): 0.25 states/eV/atom
Energy of formation: -1.19 eV per formula unit

abc: 4.8003 4.8003 12.1920
angles: 90.00 90.00 90.00
With the nearest neighbours (Å) after each atom.
Space group I4/mmm (No. 139)
Inequivalent atoms, fractional coordinates:
K: 0.0000 0.0000 0.0000 x2  8 Sn 3.68, 8 Cd 3.88
Cd: 0.0000 0.5000 0.2500 x4  4 Sn 2.90
Sn: 0.0000 0.0000 0.3837 x4  1 Sn 2.84, 4 Cd 2.90